#w
Compound: SrBeMo
Source: Alexandria
Functional: GGA-PBEsol
Structure: optimized geometry

a b c (Å): 4.5332 4.5332 4.5332
angles (deg): 60.00 60.00 60.00
Site moments in Bohr magnetons follow the coordinates.
Element x y z (fractional)
Sr: 0.5000 0.5000 0.5000  0.06
Mo: 0.0000 0.0000 0.0000  2.16
Be: 0.7500 0.7500 0.7500  -0.07

#x
Compound: SrBeMo
Source: Alexandria
Functional: GGA-PBEsol
Structure: optimized geometry

a b c (Å): 3.7018 3.7018 5.3209
angles (deg): 90.00 90.00 120.00
Element x y z (fractional)
Sr: 0.3333 0.6667 0.3122
Mo: 0.6667 0.3333 0.7774
Be: 0.0000 0.0000 0.9104

#y
Compound: SrBeMo
Source: Alexandria
Functional: GGA-PBEsol
Structure: optimized geometry

a b c (Å): 3.2620 3.2620 5.9916
angles (deg): 105.80 105.80 90.00
Element x y z (fractional)
Sr: 0.3312 0.3312 0.6625
Mo: 0.6097 0.6097 0.2193
Be: 0.0591 0.0591 0.1182

The structure with the greatest stability is #y.

#w
Compound: Be2TcMo
Source: Alexandria
Functional: GGA-PBEsol
Structure: optimized geometry

a b c (Å): 2.9963 2.9963 5.0705
angles (deg): 90.00 90.00 90.00
Element x y z (fractional)
Be: 0.0000 0.0000 0.7284
Be: 0.0000 0.0000 0.2716
Mo: 0.5000 0.5000 0.0000
Tc: 0.5000 0.5000 0.5000

#x
Compound: Be2TcMo
Source: Alexandria
Functional: GGA-PBEsol
Structure: optimized geometry

a b c (Å): 3.7532 4.1907 3.7532
angles (deg): 63.40 90.00 116.60
Element x y z (fractional)
Be: 0.2500 0.5000 0.2500
Be: 0.7500 0.5000 0.7500
Mo: 0.5000 0.0000 0.5000
Tc: 0.0000 0.0000 0.0000

#y
Compound: Be2TcMo
Source: Alexandria
Functional: GGA-PBEsol
Structure: optimized geometry

a b c (Å): 3.1067 3.2009 4.6522
angles (deg): 90.00 109.51 90.00
Element x y z (fractional)
Be: 0.8184 0.0000 0.6368
Be: 0.6823 0.5000 0.3647
Mo: 0.0946 0.0000 0.1893
Tc: 0.4019 0.5000 0.8038

The structure with the greatest stability is #y.

#w
Compound: BeTeMo2
Source: Alexandria
Functional: GGA-PBEsol
Structure: optimized geometry

a b c (Å): 3.9049 3.9049 4.8496
angles (deg): 113.74 113.74 90.00
Element x y z (fractional)
Be: 0.2500 0.7500 0.5000
Mo: 0.0000 0.0000 0.0000
Mo: 0.7500 0.2500 0.5000
Te: 0.5000 0.5000 0.0000

#x
Compound: BeTeMo2
Source: Alexandria
Functional: GGA-PBEsol
Structure: optimized geometry

a b c (Å): 4.3974 4.3974 4.3974
angles (deg): 60.00 60.00 60.00
Element x y z (fractional)
Be: 0.0000 0.0000 0.0000
Mo: 0.7500 0.7500 0.7500
Mo: 0.2500 0.2500 0.2500
Te: 0.5000 0.5000 0.5000

The structure with the greatest stability is #x.